Record 1
The following is a DFT calculation (PBE) of an optimized crystal structure of BaScTe2S6.

Computed properties:
Uncorrected energy ... -4.7208 eV/atom
Mass density ... 3.8 g cm⁻³
Formation energy without anion corrections ... -791 meV per atom

a = 6.641 Å, b = 6.860 Å, c = 7.801 Å
α = 114.96°, β = 92.40°, γ = 115.99°
Element x y z (fractional)
1 Ba 0.000 0.000 0.000
2 Sc 0.512 0.059 0.570
3 Te 0.212 0.425 0.628
4 Te 0.679 0.435 0.193
5 S 0.126 0.968 0.391
6 S 0.396 0.917 0.827
7 S 0.430 0.583 0.347
8 S 0.548 0.472 0.814
9 S 0.760 0.229 0.350
10 S 0.935 0.308 0.814

---

Record 2
The following is a DFT calculation (PBE) of an optimized crystal structure of Er4CuAg.

Computed properties:
Uncorrected energy ... -4.3557 eV/atom
Mass density ... 9.3 g cm⁻³
Energy of formation from the pure elements ... -0.16 eV per atom

a = 3.492 Å, b = 3.492 Å, c = 12.350 Å
α = 90.00°, β = 90.00°, γ = 90.00°
Element x y z (fractional)
1 Er 0.000 0.000 0.137
2 Er 0.000 0.000 0.863
3 Er 0.500 0.500 0.346
4 Er 0.500 0.500 0.654
5 Cu 0.500 0.500 0.000
6 Ag 0.000 0.000 0.500

---

Record 3
The following is a DFT calculation (PBE) of an optimized crystal structure of ErGaCoCu.

Computed properties:
Uncorrected energy ... -4.9259 eV/atom
Mass density ... 9.5 g cm⁻³
Energy of formation from the pure elements ... -0.23 eV per atom

a = 4.460 Å, b = 4.460 Å, c = 4.460 Å
α = 60.00°, β = 60.00°, γ = 60.00°
Element x y z (fractional)
1 Er 0.000 0.000 0.000
2 Ga 0.500 0.500 0.500
3 Co 0.750 0.750 0.750
4 Cu 0.250 0.250 0.250

---

Record 4
The following is a DFT calculation (PBE) of an optimized crystal structure of PmIrPd.

Computed properties:
Uncorrected energy ... -6.8005 eV/atom
Mass density ... 11.5 g cm⁻³
Energy of formation from the pure elements ... -0.53 eV per atom

a = 4.385 Å, b = 4.385 Å, c = 3.853 Å
α = 90.00°, β = 90.00°, γ = 120.00°
Element x y z (fractional)
1 Pm 0.000 0.000 0.000
2 Ir 0.333 0.667 0.500
3 Pd 0.667 0.333 0.500

---

Record 5
The following is a DFT calculation (PBE) of an optimized crystal structure of Ac4LaTl.

Computed properties:
Uncorrected energy ... -4.0507 eV/atom
Mass density ... 8.5 g cm⁻³
Energy of formation from the pure elements ... -0.10 eV per atom

a = 3.968 Å, b = 3.968 Å, c = 15.456 Å
α = 90.00°, β = 90.00°, γ = 90.00°
Element x y z (fractional)
1 Ac 0.000 0.000 0.143
2 Ac 0.000 0.000 0.857
3 Ac 0.500 0.500 0.327
4 Ac 0.500 0.500 0.673
5 La 0.000 0.000 0.500
6 Tl 0.500 0.500 0.000

---

Record 6
The following is a DFT calculation (PBE) of an optimized crystal structure of TbCePrGa.

Computed properties:
Uncorrected energy ... -4.6349 eV/atom
Mass density ... 7.9 g cm⁻³
Energy of formation from the pure elements ... -0.04 eV per atom

a = 5.340 Å, b = 5.340 Å, c = 5.340 Å
α = 60.00°, β = 60.00°, γ = 60.00°
Element x y z (fractional)
1 Tb 0.000 0.000 0.000
2 Ce 0.250 0.250 0.250
3 Pr 0.500 0.500 0.500
4 Ga 0.750 0.750 0.750